Computed, not measured: a relaxed CdOs2Ru crystal at the PBE-GGA level of DFT.

## Properties
N(E_F) = 3.7 states/eV/f.u.
SG = Pmm2
Total moment = 0.00 μB per formula unit
VASP energy = -7.723 eV/atom
Energy relative to the elements = 0.44 eV per atom

a = 2.768 Å, b = 3.833 Å, c = 5.910 Å
α = 90.00°, β = 90.00°, γ = 90.00°
Element x y z (fractional)
Ru1 0.000 0.000 0.475
Cd1 0.500 0.500 0.746
Os1 0.000 0.000 0.035
Os2 0.500 0.500 0.243